Entry from the Alexandria database: a relaxed structure of LiMoRh2O6 (GGA+U).

Calculated values
electronic total energy	-60.13	eV for the cell shown

a = 5.3415 Å, b = 5.3415 Å, c = 4.8917 Å
α = 90.00°, β = 90.00°, γ = 90.00°
Closest atoms and distances in Å follow each position.
Positions (direct):
Li: 0.0000 0.0000 0.0000  5 O 1.98-2.11
Mo: 0.5000 0.5000 0.0134  1 O 1.73
Rh: 0.0000 0.5000 0.3347  4 O 2.05
Rh: 0.5000 0.0000 0.3347  4 O 2.05
O: 0.0000 0.0000 0.5956  1 Li 1.98
O: 0.2562 0.2562 0.1736  1 Mo 2.00, 2 Rh 2.05, 1 Li 2.11
O: 0.2562 0.7438 0.1736  1 Mo 2.00, 2 Rh 2.05, 1 Li 2.11
O: 0.5000 0.5000 0.6589  1 Mo 1.73
O: 0.7438 0.2562 0.1736  1 Mo 2.00, 2 Rh 2.05, 1 Li 2.11
O: 0.7438 0.7438 0.1736  1 Mo 2.00, 2 Rh 2.05, 1 Li 2.11